VASP calculation (SCAN) on a crystal of LaMgTi2Tc relaxed with PBEsol.

VASP energy	-0.786	hartree per atom
calculated density	5.02	g/cm3
density of states at the Fermi level	1.480	states/eV/atom
magnetization	0.6	μB per formula unit

a b c (Å): 4.6528 4.6528 5.4572
angles (deg): 90.00 90.00 90.00
Space group P4/mmm (No. 123)
Inequivalent atoms, fractional coordinates:
La 0.0000 0.0000 0.0000
Mg 0.0000 0.0000 0.5000
Ti 0.0000 0.5000 0.5000
Tc 0.5000 0.5000 0.0000

VASP calculation (SCAN) on a crystal of NaSrMg2Al relaxed with PBEsol.

VASP energy	-0.279	hartree per atom
calculated density	1.30	g/cm3
density of states at the Fermi level	1.008	states/eV/atom
magnetization	0.0	μB per formula unit

a b c (Å): 6.2146 6.2146 6.1572
angles (deg): 90.00 90.00 90.00
Space group P4/mmm (No. 123)
Inequivalent atoms, fractional coordinates:
Na 0.0000 0.0000 0.0000
Sr 0.0000 0.0000 0.5000
Mg 0.0000 0.5000 0.5000
Al 0.5000 0.5000 0.0000

VASP calculation (SCAN) on a crystal of CrSnAsBr2 relaxed with PBEsol.

VASP energy	-0.838	hartree per atom
calculated density	5.59	g/cm3
density of states at the Fermi level	0.322	states/eV/atom
magnetization	3.0	μB per formula unit
raw formation energy	-107	meV per atom

a b c (Å): 4.8913 4.8913 5.0380
angles (deg): 90.00 90.00 90.00
Space group P4/mmm (No. 123)
Inequivalent atoms, fractional coordinates:
Cr 0.0000 0.0000 0.0000
Sn 0.5000 0.5000 0.5000
As 0.0000 0.0000 0.5000
Br 0.0000 0.5000 0.0000

VASP calculation (SCAN) on a crystal of BiTeW3 relaxed with PBEsol.

VASP energy	-2.293	hartree per atom
calculated density	12.52	g/cm3
density of states at the Fermi level	0.954	states/eV/atom
magnetization	0.0	μB per formula unit
raw formation energy	2577	meV per atom

a b c (Å): 4.9014 4.9014 4.9014
angles (deg): 90.00 90.00 90.00
Space group Pm-3m (No. 221)
Inequivalent atoms, fractional coordinates:
Bi 0.0000 0.0000 0.0000
Te 0.5000 0.5000 0.5000
W 0.0000 0.5000 0.5000

VASP calculation (SCAN) on a crystal of Zr4Sc5 relaxed with PBEsol.

VASP energy	-0.790	hartree per atom
calculated density	4.80	g/cm3
density of states at the Fermi level	1.375	states/eV/atom
magnetization	0.0	μB per formula unit

a b c (Å): 9.5941 9.5941 4.4285
angles (deg): 90.00 90.00 90.00
Space group I4/mmm (No. 139)
Inequivalent atoms, fractional coordinates:
Zr 0.0000 0.3376 0.0000
Sc 0.0000 0.0000 0.0000
Sc 0.1704 0.1704 0.5000

VASP calculation (SCAN) on a crystal of BaBe3Rh relaxed with PBEsol.

VASP energy	-0.638	hartree per atom
calculated density	5.02	g/cm3
density of states at the Fermi level	0.443	states/eV/atom
magnetization	0.0	μB per formula unit

a b c (Å): 4.4539 4.4539 4.4539
angles (deg): 90.00 90.00 90.00
Space group Pm-3m (No. 221)
Inequivalent atoms, fractional coordinates:
Ba 0.0000 0.0000 0.0000
Be 0.0000 0.5000 0.5000
Rh 0.5000 0.5000 0.5000

VASP calculation (SCAN) on a crystal of NiTeSe relaxed with PBEsol.

VASP energy	-0.873	hartree per atom
calculated density	6.60	g/cm3
density of states at the Fermi level	0.450	states/eV/atom
magnetization	0.0	μB per formula unit
raw formation energy	745	meV per atom

a b c (Å): 6.4400 6.4400 6.4400
angles (deg): 90.00 90.00 90.00
Space group F-43m (No. 216)
Inequivalent atoms, fractional coordinates:
Ni 0.0000 0.0000 0.0000
Te 0.2500 0.2500 0.2500
Se 0.0000 0.0000 0.5000

VASP calculation (SCAN) on a crystal of Li2ReRu relaxed with PBEsol.

VASP energy	-0.983	hartree per atom
calculated density	9.51	g/cm3
density of states at the Fermi level	0.751	states/eV/atom
magnetization	0.0	μB per formula unit

a b c (Å): 6.6119 6.6119 4.8089
angles (deg): 90.00 90.00 90.00
Space group I-42d (No. 122)
Inequivalent atoms, fractional coordinates:
Li 0.2404 0.2500 0.1250
Re 0.0000 0.0000 0.5000
Ru 0.0000 0.0000 0.0000

VASP calculation (SCAN) on a crystal of LaGeBr2 relaxed with PBEsol.

VASP energy	-0.958	hartree per atom
calculated density	6.26	g/cm3
density of states at the Fermi level	1.053	states/eV/atom
magnetization	0.0	μB per formula unit
raw formation energy	-792	meV per atom

a b c (Å): 7.3330 7.3330 7.3330
angles (deg): 90.00 90.00 90.00
Space group Fm-3m (No. 225)
Inequivalent atoms, fractional coordinates:
La 0.0000 0.0000 0.0000
Ge 0.0000 0.0000 0.5000
Br 0.2500 0.2500 0.2500

VASP calculation (SCAN) on a crystal of CuTcMoPd2 relaxed with PBEsol.

VASP energy	-1.060	hartree per atom
calculated density	9.27	g/cm3
density of states at the Fermi level	0.532	states/eV/atom
magnetization	0.4	μB per formula unit

a b c (Å): 4.3752 4.3752 4.3999
angles (deg): 90.00 90.00 90.00
Space group P4/mmm (No. 123)
Inequivalent atoms, fractional coordinates:
Cu 0.0000 0.0000 0.0000
Tc 0.0000 0.0000 0.5000
Mo 0.5000 0.5000 0.5000
Pd 0.0000 0.5000 0.0000

VASP calculation (SCAN) on a crystal of OsRhW2 relaxed with PBEsol.

VASP energy	-2.254	hartree per atom
calculated density	18.75	g/cm3
density of states at the Fermi level	0.677	states/eV/atom
magnetization	0.0	μB per formula unit

a b c (Å): 3.9084 3.9084 3.8316
angles (deg): 90.00 90.00 90.00
Space group P4/mmm (No. 123)
Inequivalent atoms, fractional coordinates:
Os 0.0000 0.0000 0.0000
Rh 0.5000 0.5000 0.0000
W 0.0000 0.5000 0.5000

VASP calculation (SCAN) on a crystal of MgZr2Au relaxed with PBEsol.

VASP energy	-1.261	hartree per atom
calculated density	8.19	g/cm3
density of states at the Fermi level	0.443	states/eV/atom
magnetization	0.0	μB per formula unit

a b c (Å): 3.1668 3.1668 8.1590
angles (deg): 90.00 90.00 90.00
Space group P4mm (No. 99)
Inequivalent atoms, fractional coordinates:
Mg 0.0000 0.0000 0.0000
Zr 0.0000 0.0000 0.5570
Zr 0.5000 0.5000 0.2924
Au 0.5000 0.5000 0.7920

VASP calculation (SCAN) on a crystal of Al2NiRuAu relaxed with PBEsol.

VASP energy	-0.962	hartree per atom
calculated density	7.23	g/cm3
density of states at the Fermi level	0.638	states/eV/atom
magnetization	0.0	μB per formula unit

a b c (Å): 4.5609 4.5609 4.5364
angles (deg): 90.00 90.00 90.00
Space group P4/mmm (No. 123)
Inequivalent atoms, fractional coordinates:
Al 0.0000 0.5000 0.0000
Ni 0.0000 0.0000 0.5000
Ru 0.5000 0.5000 0.5000
Au 0.0000 0.0000 0.0000

VASP calculation (SCAN) on a crystal of ScNi2Pt relaxed with PBEsol.

VASP energy	-1.092	hartree per atom
calculated density	10.76	g/cm3
density of states at the Fermi level	0.720	states/eV/atom
magnetization	1.2	μB per formula unit

a b c (Å): 3.1669 3.1669 5.5012
angles (deg): 90.00 90.00 90.00
Space group P4mm (No. 99)
Inequivalent atoms, fractional coordinates:
Sc 0.0000 0.0000 0.0000
Ni 0.0000 0.0000 0.4625
Ni 0.5000 0.5000 0.2689
Pt 0.5000 0.5000 0.7217

VASP calculation (SCAN) on a crystal of SrHgTe2I relaxed with PBEsol.

VASP energy	-1.491	hartree per atom
calculated density	4.46	g/cm3
density of states at the Fermi level	0.444	states/eV/atom
magnetization	3.0	μB per formula unit
raw formation energy	-233	meV per atom

a b c (Å): 6.3422 6.3422 6.2058
angles (deg): 90.00 90.00 90.00
Space group P4/mmm (No. 123)
Inequivalent atoms, fractional coordinates:
Sr 0.0000 0.0000 0.0000
Hg 0.5000 0.5000 0.5000
Te 0.0000 0.5000 0.0000
I 0.0000 0.0000 0.5000

VASP calculation (SCAN) on a crystal of HgAu5 relaxed with PBEsol.

VASP energy	-2.533	hartree per atom
calculated density	16.68	g/cm3
density of states at the Fermi level	0.199	states/eV/atom
magnetization	0.0	μB per formula unit

a b c (Å): 5.4487 5.4487 4.5886
angles (deg): 90.00 90.00 120.00
Space group P6/mmm (No. 191)
Inequivalent atoms, fractional coordinates:
Hg 0.0000 0.0000 0.0000
Au 0.0000 0.5000 0.5000
Au 0.3333 0.6667 0.0000

VASP calculation (SCAN) on a crystal of NaIn3Co relaxed with PBEsol.

VASP energy	-0.897	hartree per atom
calculated density	6.03	g/cm3
density of states at the Fermi level	0.498	states/eV/atom
magnetization	0.0	μB per formula unit

a b c (Å): 4.8981 4.8981 4.8981
angles (deg): 90.00 90.00 90.00
Space group Pm-3m (No. 221)
Inequivalent atoms, fractional coordinates:
Na 0.0000 0.0000 0.0000
In 0.0000 0.5000 0.5000
Co 0.5000 0.5000 0.5000

VASP calculation (SCAN) on a crystal of NdAsPd relaxed with PBEsol.

VASP energy	-1.232	hartree per atom
calculated density	8.66	g/cm3
density of states at the Fermi level	0.183	states/eV/atom
magnetization	0.0	μB per formula unit

a b c (Å): 4.3118 4.3118 15.5014
angles (deg): 90.00 90.00 120.00
Space group P6_3/mmc (No. 194)
Inequivalent atoms, fractional coordinates:
Nd 0.0000 0.0000 0.0000
Nd 0.0000 0.0000 0.2500
As 0.3333 0.6667 0.1196
Pd 0.3333 0.6667 0.6315

VASP calculation (SCAN) on a crystal of Ta2TcBr relaxed with PBEsol.

VASP energy	-1.702	hartree per atom
calculated density	13.63	g/cm3
density of states at the Fermi level	0.684	states/eV/atom
magnetization	0.0	μB per formula unit
raw formation energy	619	meV per atom

a b c (Å): 3.1554 4.5782 9.1046
angles (deg): 90.00 90.00 90.00
Space group Immm (No. 71)
Inequivalent atoms, fractional coordinates:
Ta 0.0000 0.0000 0.2482
Tc 0.0000 0.5000 0.5000
Br 0.0000 0.5000 0.0000

VASP calculation (SCAN) on a crystal of KCaTlS2 relaxed with PBEsol.

VASP energy	-0.812	hartree per atom
calculated density	3.55	g/cm3
density of states at the Fermi level	0.351	states/eV/atom
magnetization	0.0	μB per formula unit
raw formation energy	-168	meV per atom

a b c (Å): 5.4777 5.4777 5.4216
angles (deg): 90.00 90.00 90.00
Space group P4/mmm (No. 123)
Inequivalent atoms, fractional coordinates:
K 0.0000 0.0000 0.0000
Ca 0.5000 0.5000 0.0000
Tl 0.5000 0.5000 0.5000
S 0.0000 0.5000 0.5000

VASP calculation (SCAN) on a crystal of TaReW2 relaxed with PBEsol.

VASP energy	-2.553	hartree per atom
calculated density	19.33	g/cm3
density of states at the Fermi level	0.416	states/eV/atom
magnetization	0.0	μB per formula unit

a b c (Å): 3.1513 4.4628 4.4884
angles (deg): 90.00 90.00 90.00
Space group Pmmm (No. 47)
Inequivalent atoms, fractional coordinates:
Ta 0.0000 0.0000 0.0000
Re 0.5000 0.5000 0.0000
W 0.0000 0.5000 0.5000
W 0.5000 0.0000 0.5000

VASP calculation (SCAN) on a crystal of ScTeAsBr2 relaxed with PBEsol.

VASP energy	-0.833	hartree per atom
calculated density	4.85	g/cm3
density of states at the Fermi level	0.511	states/eV/atom
magnetization	0.7	μB per formula unit
raw formation energy	-548	meV per atom

a b c (Å): 4.9648 4.9648 5.6603
angles (deg): 90.00 90.00 90.00
Space group P4/mmm (No. 123)
Inequivalent atoms, fractional coordinates:
Sc 0.0000 0.0000 0.0000
Te 0.5000 0.5000 0.5000
As 0.0000 0.0000 0.5000
Br 0.0000 0.5000 0.0000

VASP calculation (SCAN) on a crystal of ScMnRh relaxed with PBEsol.

VASP energy	-0.816	hartree per atom
calculated density	6.61	g/cm3
density of states at the Fermi level	0.828	states/eV/atom
magnetization	3.8	μB per formula unit

a b c (Å): 5.8861 5.8861 5.8861
angles (deg): 90.00 90.00 90.00
Space group F-43m (No. 216)
Inequivalent atoms, fractional coordinates:
Sc 0.0000 0.0000 0.0000
Mn 0.2500 0.2500 0.7500
Rh 0.0000 0.0000 0.5000

VASP calculation (SCAN) on a crystal of CdInH2 relaxed with PBEsol.

VASP energy	-0.625	hartree per atom
calculated density	6.91	g/cm3
density of states at the Fermi level	0.141	states/eV/atom
magnetization	0.0	μB per formula unit

a b c (Å): 6.0396 6.0396 6.0396
angles (deg): 90.00 90.00 90.00
Space group Fm-3m (No. 225)
Inequivalent atoms, fractional coordinates:
Cd 0.0000 0.0000 0.0000
In 0.0000 0.0000 0.5000
H 0.2500 0.2500 0.2500

VASP calculation (SCAN) on a crystal of RbInNiW2 relaxed with PBEsol.

VASP energy	-1.469	hartree per atom
calculated density	9.08	g/cm3
density of states at the Fermi level	1.171	states/eV/atom
magnetization	0.0	μB per formula unit

a b c (Å): 4.5683 4.5683 5.4939
angles (deg): 90.00 90.00 90.00
Space group P4/mmm (No. 123)
Inequivalent atoms, fractional coordinates:
Rb 0.0000 0.0000 0.0000
In 0.5000 0.5000 0.0000
Ni 0.0000 0.0000 0.5000
W 0.0000 0.5000 0.5000

VASP calculation (SCAN) on a crystal of TaNi4Au relaxed with PBEsol.

VASP energy	-1.237	hartree per atom
calculated density	13.89	g/cm3
density of states at the Fermi level	0.694	states/eV/atom
magnetization	0.0	μB per formula unit

a b c (Å): 6.6421 6.6421 6.6421
angles (deg): 90.00 90.00 90.00
Space group F-43m (No. 216)
Inequivalent atoms, fractional coordinates:
Ta 0.0000 0.0000 0.0000
Ni 0.1251 0.1251 0.6251
Au 0.2500 0.2500 0.2500

VASP calculation (SCAN) on a crystal of K5CuCO5 relaxed with PBEsol.

VASP energy	-0.358	hartree per atom
calculated density	2.43	g/cm3
magnetization	0.0	μB per formula unit
raw formation energy	-1557	meV per atom

a b c (Å): 8.8125 10.5912 10.2887
angles (deg): 90.00 90.00 90.00
Space group Aem2 (No. 39)
Inequivalent atoms, fractional coordinates:
K 0.0000 0.0000 0.0000
K 0.2495 0.0490 0.2413
K 0.2683 0.2500 0.9418
K 0.2875 0.2500 0.5690
Cu 0.5000 0.0000 0.4920
C 0.0122 0.2500 0.7243
O 0.0668 0.1437 0.7660
O 0.0953 0.2500 0.1376
O 0.2985 0.0163 0.4927

VASP calculation (SCAN) on a crystal of CaTa2As relaxed with PBEsol.

VASP energy	-1.498	hartree per atom
calculated density	10.05	g/cm3
density of states at the Fermi level	0.557	states/eV/atom
magnetization	0.0	μB per formula unit

a b c (Å): 3.6860 4.8485 8.8164
angles (deg): 90.00 90.00 90.00
Space group Cmm2 (No. 35)
Inequivalent atoms, fractional coordinates:
Ca 0.0000 0.0000 0.0000
Ta 0.0000 0.0000 0.5294
Ta 0.0000 0.5000 0.2971
As 0.0000 0.5000 0.7385